# LiPr2As3Pd4 (PBE, relaxed)
data_LiPr2As3Pd4
_symmetry_space_group_name_H-M 'P -4 m 2'
_symmetry_Int_Tables_number 115
_cell_length_a 4.325
_cell_length_b 4.325
_cell_length_c 10.233
_cell_angle_alpha 90.00
_cell_angle_beta 90.00
_cell_angle_gamma 90.00
loop_
_symmetry_equiv_pos_as_xyz
'x,y,z'
'y,-x,-z'
'-x,-y,z'
'-y,x,-z'
'-x,y,z'
'-y,-x,-z'
'x,-y,z'
'y,x,-z'
loop_
_atom_site_label
_atom_site_type_symbol
_atom_site_fract_x
_atom_site_fract_y
_atom_site_fract_z
Li1 Li 0.000 0.000 0.000
Pr1 Pr 0.000 0.500 0.742
As1 As 0.000 0.500 0.360
As2 As 0.500 0.500 0.000
Pd1 Pd 0.000 0.000 0.500
Pd2 Pd 0.000 0.500 0.121
Pd3 Pd 0.500 0.500 0.500
# Magnetization ... 0.0 μB per formula unit
# Total energy ... -55.2 eV/cell
# Density ... 8.15 g/cm³
# Formation enthalpy at 0 K ... -0.906 eV per atom
# Crystal system ... tetragonal

# LiPuAs2Pd5 (PBE, relaxed)
data_LiPuAs2Pd5
_symmetry_space_group_name_H-M 'P 4/m m m'
_symmetry_Int_Tables_number 123
_symmetry_space_group_name_Hall '-P 4 2'
_cell_length_a 4.186
_cell_length_b 4.186
_cell_length_c 9.358
_cell_angle_alpha 90.00
_cell_angle_beta 90.00
_cell_angle_gamma 90.00
loop_
_atom_site_label
_atom_site_type_symbol
_atom_site_fract_x
_atom_site_fract_y
_atom_site_fract_z
Li1 Li 0.000 0.000 0.000
Pu1 Pu 0.000 0.000 0.500
As1 As 0.500 0.500 0.132
Pd1 Pd 0.000 0.500 0.273
Pd2 Pd 0.500 0.500 0.500
# Magnetization ... 4.8 μB per formula unit
# Total energy ... -55.9 eV/cell
# Density ... 9.45 g/cm³
# Formation enthalpy at 0 K ... -0.488 eV per atom
# Crystal system ... tetragonal